Entry 1:
Below is an optimized crystal structure of TiInS2, with properties calculated at the PBE-GGA level.

## Properties
SG: No. 122
Crystal system: tetragonal
E_form (uncorrected) (kJ per mole of atoms): -70.3

a = 6.845 Å, b = 6.845 Å, c = 6.845 Å
α = 120.97°, β = 120.97°, γ = 88.32°
Fractional coordinates of all 8 atoms:
Ti1 0.000 0.000 0.000
Ti2 0.750 0.250 0.500
In1 0.250 0.750 0.500
In2 0.500 0.500 0.000
S1 0.030 0.625 0.905
S2 0.375 0.280 0.405
S3 0.720 0.125 0.095
S4 0.875 0.970 0.595

=====

Entry 2:
Below is an optimized crystal structure of TiInS2, with properties calculated at the PBE-GGA level.

## Properties
SG: No. 12
Crystal system: monoclinic
E_form (uncorrected) (kJ per mole of atoms): -96.1

a = 3.408 Å, b = 3.408 Å, c = 8.374 Å
α = 98.86°, β = 98.86°, γ = 60.36°
Fractional coordinates of all 4 atoms:
Ti1 0.000 0.000 0.000
In1 0.000 0.000 0.500
S1 0.378 0.378 0.176
S2 0.622 0.622 0.824

=====

Entry 3:
Below is an optimized crystal structure of TiInS2, with properties calculated at the PBE-GGA level.

## Properties
SG: No. 33
Crystal system: orthorhombic
E_form (uncorrected) (kJ per mole of atoms): -82.3

a = 7.006 Å, b = 10.585 Å, c = 4.599 Å
α = 90.00°, β = 90.00°, γ = 90.00°
Fractional coordinates of all 16 atoms:
Ti1 0.086 0.091 0.000
Ti2 0.414 0.591 0.500
Ti3 0.586 0.409 0.000
Ti4 0.914 0.909 0.500
In1 0.116 0.359 0.501
In2 0.384 0.859 0.001
In3 0.616 0.141 0.501
In4 0.884 0.641 0.001
S1 0.105 0.729 0.500
S2 0.172 0.059 0.500
S3 0.328 0.559 0.000
S4 0.395 0.229 0.000
S5 0.605 0.771 0.500
S6 0.672 0.441 0.500
S7 0.828 0.941 0.000
S8 0.895 0.271 0.000

=====

Entry 4:
Below is an optimized crystal structure of Ti2InS, with properties calculated at the PBE-GGA level.

## Properties
SG: No. 122
Energy relative to the lowest polymorph listed for this composition (kcal/mol of atoms): 18.82
Crystal system: tetragonal
E_form (uncorrected) (kJ per mole of atoms): 4.1

a = 7.735 Å, b = 7.735 Å, c = 7.735 Å
α = 139.27°, β = 139.27°, γ = 58.97°
Fractional coordinates of all 8 atoms:
Ti1 0.029 0.625 0.904
Ti2 0.375 0.279 0.404
Ti3 0.721 0.125 0.096
Ti4 0.875 0.971 0.596
In1 0.250 0.750 0.500
In2 0.500 0.500 0.000
S1 0.000 0.000 0.000
S2 0.750 0.250 0.500

=====

Entry 5:
Below is an optimized crystal structure of TiInS2, with properties calculated at the PBE-GGA level.

## Properties
SG: No. 166
Crystal system: trigonal
E_form (uncorrected) (kJ per mole of atoms): -97.8

a = 8.893 Å, b = 8.893 Å, c = 8.893 Å
α = 21.99°, β = 21.99°, γ = 21.99°
Fractional coordinates of all 4 atoms:
Ti1 0.000 0.000 0.000
In1 0.500 0.500 0.500
S1 0.389 0.389 0.389
S2 0.611 0.611 0.611

=====

Entry 6:
Below is an optimized crystal structure of Ti3InS, with properties calculated at the PBE-GGA level.

## Properties
SG: No. 221
Energy relative to the lowest polymorph listed for this composition (kcal/mol of atoms): 37.69
Crystal system: cubic
E_form (uncorrected) (kJ per mole of atoms): 111.7

a = 5.088 Å, b = 5.088 Å, c = 5.088 Å
α = 90.00°, β = 90.00°, γ = 90.00°
Fractional coordinates of all 5 atoms:
Ti1 0.000 0.000 0.500
Ti2 0.000 0.500 0.000
Ti3 0.500 0.000 0.000
In1 0.000 0.000 0.000
S1 0.500 0.500 0.500

=====

Entry 7:
Below is an optimized crystal structure of TiInS2, with properties calculated at the PBE-GGA level.

## Properties
SG: No. 123
Crystal system: tetragonal
E_form (uncorrected) (kJ per mole of atoms): -57.0

a = 3.792 Å, b = 3.792 Å, c = 5.487 Å
α = 90.00°, β = 90.00°, γ = 90.00°
Fractional coordinates of all 4 atoms:
Ti1 0.000 0.000 0.000
In1 0.500 0.500 0.500
S1 0.000 0.000 0.500
S2 0.500 0.500 0.000

=====

Entry 8:
Below is an optimized crystal structure of TiInS2, with properties calculated at the PBE-GGA level.

## Properties
SG: No. 15
Crystal system: monoclinic
E_form (uncorrected) (kJ per mole of atoms): -79.4

a = 7.394 Å, b = 7.394 Å, c = 15.157 Å
α = 96.06°, β = 96.06°, γ = 88.70°
Fractional coordinates of all 32 atoms:
Ti1 0.120 0.690 0.824
Ti2 0.310 0.880 0.676
Ti3 0.312 0.445 0.674
Ti4 0.445 0.312 0.174
Ti5 0.555 0.688 0.826
Ti6 0.688 0.555 0.326
Ti7 0.690 0.120 0.324
Ti8 0.880 0.310 0.176
In1 0.128 0.711 0.104
In2 0.147 0.332 0.397
In3 0.289 0.872 0.396
In4 0.332 0.147 0.897
In5 0.668 0.853 0.103
In6 0.711 0.128 0.604
In7 0.853 0.668 0.603
In8 0.872 0.289 0.896
S1 0.039 0.424 0.731
S2 0.054 0.946 0.750
S3 0.141 0.314 0.094
S4 0.244 0.641 0.561
S5 0.314 0.141 0.594
S6 0.359 0.756 0.939
S7 0.404 0.596 0.250
S8 0.424 0.039 0.231
S9 0.576 0.961 0.769
S10 0.596 0.404 0.750
S11 0.641 0.244 0.061
S12 0.686 0.859 0.406
S13 0.756 0.359 0.439
S14 0.859 0.686 0.906
S15 0.946 0.054 0.250
S16 0.961 0.576 0.269

=====

Here are the calculated VASP energy numbers, same order: -43.60, -22.87, -89.21, -44.97, -22.94, -24.76, -21.25, -177.45 (eV for the cell shown).